Here is a geometry-optimized LiTiS3 structure from Alexandria. Energies are from PBE.

abc: 4.3297 4.3297 4.3297
angles: 90.00 90.00 90.00
Fractional coordinates of all 5 atoms:
S: 0.0000 0.5000 0.0000
S: 0.0000 0.0000 0.5000
S: 0.5000 0.0000 0.0000
Li: 0.0000 0.0000 0.0000
Ti: 0.5000 0.5000 0.5000

Raw total energy   -21.5 eV for the cell shown
Spin magnetization   0.00 Bohr magnetons per cell
V   16.23 A^3/atom
ΔE to the lowest computed polymorph   1130.9 meV per atom